(1)
# IrOs4Ru

A relaxed structure of IrOs4Ru (GGA-PBE, Alexandria via LeMat-Bulk).

Unit cell a=5.081 b=5.081 c=5.081 alpha=60.00 beta=60.00 gamma=60.00
Atoms (fractional coordinates):
Ir (0.000, 0.000, 0.000)
Os (0.125, 0.625, 0.625)
Os (0.625, 0.125, 0.625)
Os (0.625, 0.625, 0.125)
Os (0.625, 0.625, 0.625)
Ru (0.250, 0.250, 0.250)

Calculated values
SG = F-43m (216)
crystal system = cubic
formation energy = 830 meV per atom
excess energy over the best structure of this formula in the dataset = 838 meV per atom


(2)
# VCuOsRu

A relaxed structure of VCuOsRu (GGA-PBE, Alexandria via LeMat-Bulk).

Unit cell a=4.230 b=4.230 c=4.230 alpha=60.00 beta=60.00 gamma=60.00
Atoms (fractional coordinates):
V (0.000, 0.000, 0.000)
Cu (0.500, 0.500, 0.500)
Os (0.250, 0.250, 0.250)
Ru (0.750, 0.750, 0.750)

Calculated values
SG = F-43m (216)
crystal system = cubic
formation energy = 43 meV per atom


(3)
# Nd6GeRh2Br3

A relaxed structure of Nd6GeRh2Br3 (GGA-PBE, Alexandria via LeMat-Bulk).

Unit cell a=7.298 b=7.298 c=8.033 alpha=98.72 beta=98.72 gamma=120.01
Atoms (fractional coordinates):
Nd (0.087, 0.434, 0.798)
Nd (0.220, 0.220, 0.201)
Nd (0.434, 0.087, 0.798)
Nd (0.566, 0.913, 0.202)
Nd (0.780, 0.780, 0.799)
Nd (0.913, 0.566, 0.202)
Ge (0.500, 0.500, 0.000)
Rh (0.167, 0.833, 0.000)
Rh (0.833, 0.167, 0.000)
Br (0.000, 0.000, 0.500)
Br (0.338, 0.662, 0.500)
Br (0.662, 0.338, 0.500)

Calculated values
SG = C2/m (12)
crystal system = monoclinic
formation energy (no corrections) = -1.042 eV per atom


(4)
# Sm2Si2Tc2B

A relaxed structure of Sm2Si2Tc2B (GGA-PBE, Alexandria via LeMat-Bulk).

Unit cell a=5.888 b=5.888 c=7.102 alpha=124.36 beta=124.36 gamma=40.58
Atoms (fractional coordinates):
Sm (0.075, 0.075, 0.307)
Sm (0.925, 0.925, 0.693)
Si (0.358, 0.358, 0.311)
Si (0.642, 0.642, 0.689)
Tc (0.287, 0.287, 0.908)
Tc (0.713, 0.713, 0.092)
B (0.500, 0.500, 0.000)

Calculated values
SG = C2/m (12)
crystal system = monoclinic
formation energy (no corrections) = -0.628 eV per atom


(5)
# Cs2BaReO6

A relaxed structure of Cs2BaReO6 (GGA-PBE, Alexandria via LeMat-Bulk).

Unit cell a=6.506 b=6.506 c=6.506 alpha=60.02 beta=60.02 gamma=60.02
Atoms (fractional coordinates):
Cs (0.250, 0.250, 0.250)
Cs (0.750, 0.750, 0.750)
Ba (0.000, 0.000, 0.000)
Re (0.500, 0.500, 0.500)
O (0.292, 0.707, 0.294)
O (0.293, 0.706, 0.708)
O (0.294, 0.292, 0.707)
O (0.706, 0.708, 0.293)
O (0.707, 0.294, 0.292)
O (0.708, 0.293, 0.706)

Calculated values
SG = R-3 (148)
crystal system = trigonal
formation energy (no corrections) = -1.808 eV per atom


(6)
# Ho8Tl2Ag

A relaxed structure of Ho8Tl2Ag (GGA-PBE, Alexandria via LeMat-Bulk).

Unit cell a=9.623 b=9.623 c=6.771 alpha=100.37 beta=100.37 gamma=31.02
Atoms (fractional coordinates):
Ho (0.017, 0.017, 0.264)
Ho (0.203, 0.203, 0.809)
Ho (0.346, 0.346, 0.520)
Ho (0.409, 0.409, 0.034)
Ho (0.591, 0.591, 0.966)
Ho (0.654, 0.654, 0.480)
Ho (0.797, 0.797, 0.191)
Ho (0.983, 0.983, 0.736)
Tl (0.188, 0.188, 0.254)
Tl (0.812, 0.812, 0.746)
Ag (0.500, 0.500, 0.500)

Calculated values
SG = C2/m (12)
crystal system = monoclinic
formation energy = -134 meV per atom


(7)
# Ac4In

A relaxed structure of Ac4In (GGA-PBE, Alexandria via LeMat-Bulk).

Unit cell a=7.289 b=7.289 c=9.863 alpha=132.49 beta=132.49 gamma=33.73
Atoms (fractional coordinates):
Ac (0.082, 0.082, 0.354)
Ac (0.271, 0.271, 0.188)
Ac (0.729, 0.729, 0.812)
Ac (0.918, 0.918, 0.646)
In (0.500, 0.500, 0.000)

Calculated values
SG = C2/m (12)
crystal system = monoclinic
formation energy = -155 meV per atom
excess energy over the best structure of this formula in the dataset = 0 meV per atom


(8)
# HgSbO2

A relaxed structure of HgSbO2 (GGA-PBE, Alexandria via LeMat-Bulk).

Unit cell a=4.358 b=4.358 c=4.358 alpha=60.00 beta=60.00 gamma=60.00
Atoms (fractional coordinates):
Hg (0.000, 0.000, 0.000)
Sb (0.500, 0.500, 0.500)
O (0.250, 0.250, 0.250)
O (0.750, 0.750, 0.750)

Calculated values
SG = Fm-3m (225)
crystal system = cubic
formation energy (no corrections) = -0.100 eV per atom
excess energy over the best structure of this formula in the dataset = 674 meV per atom


Per-record DOS(E_F), states/eV/cell: 10.79 4.76 8.56 4.10 8.22 10.50 5.96 1.00